Entry 1:
Computed, not measured: an optimized crystal structure of LaPr5Nd2Tm at the PBE level of DFT.

abc: 10.1935 10.1935 10.1935
angles: 127.36 127.36 77.67
Closest atoms and distances in Å follow each position.
Positions (direct):
La 0.2500 0.2500 0.0000  10 Pr 3.70-3.97
La 0.7500 0.7500 0.0000  10 Pr 3.70-3.97
Pr 0.0000 0.0000 0.0000  4 Nd 3.62, 8 Pr 3.91, 2 La 3.97
Pr 0.0708 0.5708 0.9174  1 Nd 3.13, 1 Tm 3.21
Pr 0.1533 0.0708 0.5000  1 Nd 3.13, 1 Tm 3.21
Pr 0.3467 0.8467 0.9174  1 Nd 3.13, 1 Tm 3.21
Pr 0.4292 0.3467 0.5000  1 Nd 3.13, 1 Tm 3.21
Pr 0.5000 0.5000 0.0000  4 Nd 3.62, 8 Pr 3.91, 2 La 3.97
Pr 0.5708 0.6533 0.5000  1 Nd 3.13, 1 Tm 3.21
Pr 0.6533 0.1533 0.0826  1 Nd 3.13, 1 Tm 3.21
Pr 0.8467 0.9292 0.5000  1 Nd 3.13, 1 Tm 3.21
Pr 0.9292 0.4292 0.0826  1 Nd 3.13, 1 Tm 3.21
Nd 0.1164 0.3836 0.5000  1 Nd 2.98, 2 Pr 3.13
Nd 0.3836 0.8836 0.2672  1 Nd 2.98, 2 Pr 3.13
Nd 0.6164 0.1164 0.7328  1 Nd 2.98, 2 Pr 3.13
Nd 0.8836 0.6164 0.5000  1 Nd 2.98, 2 Pr 3.13
Tm 0.2500 0.7500 0.5000  4 Pr 3.21
Tm 0.7500 0.2500 0.5000  4 Pr 3.21

Output
- Energy relative to the elements: 267 meV/atom

Entry 2:
Computed, not measured: an optimized crystal structure of BiRhF2 at the PBE level of DFT.

abc: 8.6167 8.6167 8.6167
angles: 153.63 153.63 37.64
Closest atoms and distances in Å follow each position.
Positions (direct):
Bi 0.0000 0.0000 0.0000  4 F 2.48
Bi 0.7500 0.2500 0.5000  4 F 2.48
Rh 0.2500 0.7500 0.5000  4 F 2.46
Rh 0.5000 0.5000 0.0000  4 F 2.46
F 0.1302 0.6250 0.0052  2 Rh 2.46, 2 Bi 2.48, 2 F 2.75
F 0.3750 0.3802 0.5052  2 Rh 2.46, 2 Bi 2.48, 2 F 2.75
F 0.6198 0.1250 0.9948  2 Rh 2.46, 2 Bi 2.48, 2 F 2.75
F 0.8750 0.8698 0.4948  2 Rh 2.46, 2 Bi 2.48, 2 F 2.75

Output
- Formation energy from raw total energies: -1.00 eV per atom
- Distance to the lowest polymorph of the same formula: 0 meV per atom

Entry 3:
Computed, not measured: an optimized crystal structure of CrAuCl2 at the PBE level of DFT.

abc: 6.6283 6.6283 6.6283
angles: 121.10 121.10 88.11
Closest atoms and distances in Å follow each position.
Positions (direct):
Cr 0.0000 0.0000 0.0000  4 Cl 2.45
Cr 0.7500 0.2500 0.5000  4 Cl 2.45
Au 0.2500 0.7500 0.5000  4 Cl 2.76
Au 0.5000 0.5000 0.0000  4 Cl 2.76
Cl 0.0869 0.6250 0.9619  2 Cr 2.45
Cl 0.3750 0.3369 0.4619  2 Cr 2.45
Cl 0.6631 0.1250 0.0381  2 Cr 2.45
Cl 0.8750 0.9131 0.5381  2 Cr 2.45

Output
- Formation energy from raw total energies: 0.00 eV per atom
- Distance to the lowest polymorph of the same formula: 409 meV per atom

Entry 4:
Computed, not measured: an optimized crystal structure of Re2MoP at the PBE level of DFT.

abc: 5.1747 5.1747 5.1747
angles: 147.32 129.50 61.46
Closest atoms and distances in Å follow each position.
Positions (direct):
Re 0.2162 0.2162 0.0000  2 P 2.41
Re 0.7838 0.7838 0.0000  2 P 2.41
Mo 0.5000 0.0000 0.5000  4 P 2.64, 2 Mo 2.91, 8 Re 2.91-2.93
P 0.0000 0.5000 0.5000  4 Re 2.41, 4 Mo 2.64

Output
- Energy relative to the elements: -137 meV/atom

Entry 5:
Computed, not measured: an optimized crystal structure of CeTiH3 at the PBE level of DFT.

abc: 3.0702 5.8912 6.7577
angles: 73.02 77.06 74.93
Closest atoms and distances in Å follow each position.
Positions (direct):
Ce 0.0574 0.2495 0.1387  6 H 2.25-2.51
Ce 0.9426 0.7505 0.8613  6 H 2.25-2.51
Ti 0.2399 0.6840 0.3382  6 H 1.84-2.01
Ti 0.7601 0.3160 0.6618  6 H 1.84-2.01
H 0.1763 0.5167 0.6296  3 Ti 1.89-1.92
H 0.2835 0.8679 0.0652  1 Ti 1.84
H 0.3666 0.0850 0.6796  2 Ti 2.00-2.01
H 0.6334 0.9150 0.3204  2 Ti 2.00-2.01
H 0.7165 0.1321 0.9348  1 Ti 1.84
H 0.8237 0.4833 0.3704  3 Ti 1.89-1.92

Output
- Distance to the lowest polymorph of the same formula: 6 meV per atom

Entry 6:
Computed, not measured: an optimized crystal structure of KZr2Cu at the PBE level of DFT.

abc: 10.1583 10.1583 10.1583
angles: 149.73 149.73 43.34
Closest atoms and distances in Å follow each position.
Positions (direct):
K 0.0000 0.0000 0.0000  8 Zr 3.67-3.91, 4 Cu 3.75
K 0.7500 0.2500 0.5000  8 Zr 3.67-3.91, 4 Cu 3.75
Zr 0.3419 0.6250 0.2169  2 Zr 2.68, 2 Cu 2.71
Zr 0.3750 0.5919 0.7169  2 Zr 2.68, 2 Cu 2.71
Zr 0.4081 0.1250 0.7831  2 Zr 2.68, 2 Cu 2.71
Zr 0.8750 0.6581 0.2831  2 Zr 2.68, 2 Cu 2.71
Cu 0.2500 0.7500 0.5000  4 Zr 2.71
Cu 0.5000 0.5000 0.0000  4 Zr 2.71

Output
- Distance to the lowest polymorph of the same formula: 899 meV per atom
- Energy relative to the elements: 1137 meV/atom

Entry 7:
Computed, not measured: an optimized crystal structure of SrTcSb2Ir at the PBE level of DFT.

abc: 5.6603 5.6603 4.8639
angles: 90.00 90.00 90.00
Closest atoms and distances in Å follow each position.
Positions (direct):
Sr 0.0000 0.0000 0.0000  2 Tc 2.43
Tc 0.0000 0.0000 0.5000  2 Sr 2.43
Sb 0.0000 0.5000 0.0000  2 Sr 2.83
Sb 0.5000 0.0000 0.0000  2 Sr 2.83
Ir 0.5000 0.5000 0.5000  8 Sb 3.73, 4 Tc 4.00

Output
- Formation energy from raw total energies: 2.40 eV per atom

Entry 8:
Computed, not measured: an optimized crystal structure of AlMo2Se at the PBE level of DFT.

abc: 2.8483 2.8483 8.9385
angles: 90.00 90.00 111.57
Closest atoms and distances in Å follow each position.
Positions (direct):
Al 0.0000 0.0000 0.0000  2 Mo 2.65, 4 Al 2.85
Mo 0.0000 0.0000 0.4724  6 Mo 2.65-2.85, 2 Se 2.69
Mo 0.5000 0.5000 0.2362  2 Al 2.65, 6 Mo 2.65-2.85
Se 0.5000 0.5000 0.7140  2 Mo 2.69, 4 Se 2.85

Output
- Formation energy from raw total energies: 0.19 eV per atom
- Distance to the lowest polymorph of the same formula: 284 meV per atom

Entry 9:
Computed, not measured: an optimized crystal structure of Si3RhS at the PBE level of DFT.

abc: 4.3693 4.3693 4.3693
angles: 90.00 90.00 90.00
Closest atoms and distances in Å follow each position.
Positions (direct):
Si 0.0000 0.0000 0.5000  2 S 2.18
Si 0.0000 0.5000 0.0000  2 S 2.18
Si 0.5000 0.0000 0.0000  2 S 2.18
Rh 0.5000 0.5000 0.5000  12 Si 3.09
S 0.0000 0.0000 0.0000  6 Si 2.18

Output
- Formation energy from raw total energies: 0.87 eV per atom
- Distance to the lowest polymorph of the same formula: 596 meV per atom

Entry 10:
Computed, not measured: an optimized crystal structure of DySc5Ni6 at the PBE level of DFT.

abc: 7.2106 7.2106 6.3311
angles: 90.00 90.00 143.15
Closest atoms and distances in Å follow each position.
Positions (direct):
Dy 0.0000 0.0000 0.0000  8 Ni 2.83-2.85, 2 Sc 3.17
Sc 0.0000 0.0000 0.5000  8 Ni 2.72-2.82
Sc 0.3307 0.6693 0.0000  8 Ni 2.71-2.86
Sc 0.3335 0.6665 0.5000  8 Ni 2.70-2.76
Sc 0.6665 0.3335 0.5000  8 Ni 2.70-2.76
Sc 0.6693 0.3307 0.0000  8 Ni 2.71-2.86
Ni 0.1719 0.8281 0.2553  7 Sc 2.70-2.82, 1 Dy 2.85
Ni 0.1719 0.8281 0.7447  7 Sc 2.70-2.82, 1 Dy 2.85
Ni 0.5000 0.5000 0.2648  6 Sc 2.72-2.86, 2 Dy 2.83, 1 Ni 2.98
Ni 0.5000 0.5000 0.7352  6 Sc 2.72-2.86, 2 Dy 2.83, 1 Ni 2.98
Ni 0.8281 0.1719 0.2553  7 Sc 2.70-2.82, 1 Dy 2.85
Ni 0.8281 0.1719 0.7447  7 Sc 2.70-2.82, 1 Dy 2.85

Output
- Energy relative to the elements: -474 meV/atom

Entry 11:
Computed, not measured: an optimized crystal structure of AlZn2Re at the PBE level of DFT.

abc: 2.7189 2.7189 8.6964
angles: 90.00 90.00 110.70
Closest atoms and distances in Å follow each position.
Positions (direct):
Al 0.0000 0.0000 0.0000  2 Re 2.60, 2 Zn 2.71, 4 Al 2.72
Zn 0.0000 0.0000 0.4915  2 Re 2.68, 6 Zn 2.69-2.72
Zn 0.5000 0.5000 0.7442  6 Zn 2.69-2.72, 2 Al 2.71
Re 0.5000 0.5000 0.2398  2 Al 2.60, 2 Zn 2.68, 4 Re 2.72

Output
- Energy relative to the elements: 153 meV/atom

Entry 12:
Computed, not measured: an optimized crystal structure of TbPmNd4Tm2 at the PBE level of DFT.

abc: 6.2577 3.6274 11.9066
angles: 90.00 100.17 90.00
Closest atoms and distances in Å follow each position.
Positions (direct):
Tb 0.0000 0.0000 0.0000  6 Nd 3.57-3.60, 4 Tm 3.62, 2 Tb 3.63
Pm 0.0000 0.5000 0.5000  6 Nd 3.60-3.63, 4 Tm 3.62, 2 Pm 3.63
Nd 0.2505 0.5000 0.2505  3 Tm 3.59-3.60, 1 Pm 3.60, 2 Tb 3.60, 6 Nd 3.61-3.63
Nd 0.2518 0.0000 0.7530  3 Tm 3.57-3.63, 1 Tb 3.57, 6 Nd 3.61-3.63, 2 Pm 3.63
Nd 0.7482 0.0000 0.2470  3 Tm 3.57-3.63, 1 Tb 3.57, 6 Nd 3.61-3.63, 2 Pm 3.63
Nd 0.7495 0.5000 0.7495  3 Tm 3.59-3.60, 1 Pm 3.60, 2 Tb 3.60, 6 Nd 3.61-3.63
Tm 0.5000 0.0000 0.5000  6 Nd 3.59-3.63, 4 Pm 3.62, 2 Tm 3.63
Tm 0.5000 0.5000 0.0000  6 Nd 3.57-3.60, 4 Tb 3.62, 2 Tm 3.63

Output
- Energy relative to the elements: 16 meV/atom